Compound: NiGePd2O6
Source: the Alexandria database
Functional: PBE+U
Structure: optimized geometry

a = 6.1057 Å, b = 6.7255 Å, c = 6.7255 Å
α = 64.08°, β = 74.28°, γ = 74.28°
Fractional positions:
O  0.5695  0.6283  0.5929
O  0.5972  0.7739  0.0970
Ni  0.2500  0.8473  0.1527
Pd  0.2386  0.3408  0.1595
O  0.2568  0.0142  0.3365
Ni  0.7500  0.1527  0.8473
O  0.9028  0.9030  0.2261
O  0.7568  0.3365  0.0142
O  0.4028  0.2261  0.9030
Ge  0.2500  0.3249  0.6751
Pd  0.7386  0.1595  0.3408
O  0.4305  0.3717  0.4071
O  0.0695  0.5929  0.6283
Pd  0.7614  0.6592  0.8405
O  0.7432  0.9858  0.6635
O  0.9305  0.4071  0.3717
O  0.0972  0.0970  0.7739
Pd  0.2614  0.8405  0.6592
O  0.2432  0.6635  0.9858
Ge  0.7500  0.6751  0.3249

## Properties
* space-group type: C2/c (15)
* E_tot: -5.415 eV/atom
* Fermi-level density of states: 10.3 states/eV per cell